Compound: SrMgCo2F8
Source: Alexandria via LeMat-Bulk
Functional: GGA+U
Structure: optimized geometry

Lattice parameters (Å, degrees): 4.903 4.948 6.745 89.99 89.99 87.63
Last column: magnetic moment on the atom in μB.
Atoms (fractional coordinates):
F1 0.801 0.210 0.787  0.03
F2 0.199 0.790 0.787  0.03
F3 0.199 0.790 0.213  0.03
F4 0.304 0.297 0.000  0.05
Mg1 0.000 0.000 0.000  0.00
Sr1 0.000 0.000 0.500  0.00
F5 0.696 0.703 0.000  0.05
F6 0.801 0.210 0.213  0.03
F7 0.343 0.320 0.500  0.05
Co1 0.500 0.500 0.765  2.79
Co2 0.500 0.500 0.235  2.79
F8 0.657 0.680 0.500  0.05

Calculated values
Calculated total energy (eV per atom): -5.2503
Theoretical density (g/cm3): 3.88
Calculated volume (Å³/atom): 13.62
Space-group type: P2/m, No. 10